{"formula": "In2MoOs", "functional": "meta-GGA SCAN", "state": "single point on PBEsol structure", "cell": [[-1.617, -2.378, -0.344], [2.853, -0.491, -0.095], [0.068, -1.339, 8.949]], "species": ["In", "In", "Mo", "Os"], "frac_coords": [[0.000, 0.000, 0.245], [0.000, 0.000, 0.755], [0.500, 0.500, 0.500], [0.500, 0.500, 0.000]], "crystal_system": "orthorhombic"}

***

{"formula": "InMo3P", "functional": "meta-GGA SCAN", "state": "single point on PBEsol structure", "cell": [[-0.785, -4.058, 1.623], [3.596, -1.537, -2.103], [2.484, 0.942, 3.558]], "species": ["P", "Mo", "Mo", "Mo", "In"], "frac_coords": [[0.000, 0.000, 0.000], [0.000, 0.500, 0.000], [0.000, 0.000, 0.500], [0.500, 0.000, 0.000], [0.500, 0.500, 0.500]], "crystal_system": "cubic"}

***

Number 1: ΔE_f 0.62 eV/atom. Number 2: ΔE_f 0.44 eV/atom.